Here is crystalline CaNi at its relaxed geometry from the Alexandria database. Energies are from PBE.

a = 3.2260 Å, b = 4.6189 Å, c = 5.6559 Å
α = 90.00°, β = 90.00°, γ = 90.00°
Space group Pmmn (No. 59, origin choice 2)
Asymmetric unit:
Ca 0.2500 0.2500 0.2068 [2 per cell]
Ni 0.2500 0.2500 0.6858 [2 per cell]

## Properties
The energy of formation from the pure elements is 0.2394 eV per atom. The calculation puts the mass density at 3892 kg/m³. The density of states at the Fermi level comes out at 1.69 states/eV/cell.